Here is a relaxed structure of MnSb6Ru from Alexandria via LeMat-Bulk. Energies are from PBE-GGA.

a b c (Å): 8.1526 8.1526 8.1779
angles (deg): 109.35 109.35 109.58
Last column: magnetic moment on the atom in μB.
Fractional positions:
1 Mn 0.0000 0.5000 0.0000  3.02
2 Mn 0.5000 0.0000 0.0000  3.02
3 Sb 0.1541 0.6516 0.8057  -0.07
4 Sb 0.8459 0.3484 0.1943  -0.07
5 Sb 0.8450 0.6696 0.5146  0.03
6 Sb 0.1550 0.3304 0.4854  0.03
7 Sb 0.8151 0.1515 0.6563  -0.02
8 Sb 0.1849 0.8485 0.3437  -0.02
9 Sb 0.5048 0.8412 0.6563  -0.02
10 Sb 0.4952 0.1588 0.3437  -0.02
11 Sb 0.6645 0.8148 0.1592  -0.02
12 Sb 0.3355 0.1852 0.8408  -0.02
13 Sb 0.6556 0.5053 0.8408  -0.02
14 Sb 0.3444 0.4947 0.1592  -0.02
15 Ru 0.0000 0.0000 0.5000  -0.03
16 Ru 0.5000 0.5000 0.5000  -0.03

Space-group type   No. 12
M_tot   3.007 μB/f.u.
Total DFT energy (no corrections)   -87.830 eV per cell
N(E_F)   0.262 states/eV per atom